# 1
A plane-wave DFT calculation with meta-GGA SCAN was carried out for a crystal of LaOsSe2 relaxed with PBEsol.

Lattice parameters (Å, degrees): 5.0844 5.0844 5.0844 134.18 113.26 84.73
Last column: nearest neighbours and their distance in Å.
Positions (direct):
La: 0.0000 0.0000 0.0000  8 Se 3.03-3.16
Os: 0.5000 0.5000 0.0000  4 Se 2.46
Se: 0.3047 0.8047 0.5000  2 Os 2.46
Se: 0.6953 0.1953 0.5000  2 Os 2.46

Properties
For the density, the calculation gives 9.72 g cm⁻³. As for the calculated total energy: -158.4 eV for the cell shown. Its total magnetization is 0.00 μB/cell. The distance to the lowest polymorph of the same formula comes out at 0.0 kJ/mol of atoms. For the uncorrected formation energy, the calculation gives -0.8037 eV per atom.

---

# 2
A plane-wave DFT calculation with meta-GGA SCAN was carried out for a crystal of SmDyRh2 relaxed with PBEsol.

Lattice parameters (Å, degrees): 4.8168 4.8168 4.8168 60.00 60.00 60.00
Last column: nearest neighbours and their distance in Å.
Positions (direct):
Sm: 0.0000 0.0000 0.0000  8 Rh 2.95
Dy: 0.5000 0.5000 0.5000  8 Rh 2.95
Rh: 0.2500 0.2500 0.2500  4 Dy 2.95, 4 Sm 2.95
Rh: 0.7500 0.7500 0.7500  4 Dy 2.95, 4 Sm 2.95

Properties
For the density, the calculation gives 10.90 g cm⁻³. As for the calculated total energy: -163.4 eV for the cell shown. Its total magnetization is 0.00 μB/cell. Its formation enthalpy at 0 K is -902 meV per atom.

---

# 3
A plane-wave DFT calculation with meta-GGA SCAN was carried out for a crystal of MgUO4 relaxed with PBEsol.

Lattice parameters (Å, degrees): 5.7656 5.7656 5.7656 111.07 106.87 110.51
Last column: nearest neighbours and their distance in Å.
Positions (direct):
Mg: 0.0000 0.0000 0.0000  6 O 2.04-2.16
Mg: 0.5000 0.0000 0.5000  6 O 2.04-2.16
U: 0.2861 0.5361 0.7500  6 O 1.97-2.15
U: 0.7139 0.4639 0.2500  6 O 1.97-2.15
O: 0.1645 0.6903 0.4742  1 Mg 2.04, 2 U 2.14-2.15
O: 0.2839 0.3097 0.9742  1 Mg 2.04, 2 U 2.14-2.15
O: 0.2846 0.2332 0.4486  1 U 1.97, 2 Mg 2.16
O: 0.2846 0.8360 0.0514  1 U 1.97, 2 Mg 2.16
O: 0.7154 0.1640 0.9486  1 U 1.97, 2 Mg 2.16
O: 0.7154 0.7668 0.5514  1 U 1.97, 2 Mg 2.16
O: 0.7161 0.6903 0.0258  1 Mg 2.04, 2 U 2.14-2.15
O: 0.8355 0.3097 0.5258  1 Mg 2.04, 2 U 2.14-2.15

Properties
For the density, the calculation gives 7.36 g cm⁻³. As for the calculated total energy: -305.5 eV for the cell shown. Its total magnetization is 0.00 μB/cell. For the uncorrected formation energy, the calculation gives -3.2232 eV per atom.

---

# 4
A plane-wave DFT calculation with meta-GGA SCAN was carried out for a crystal of RbSbTe2Br relaxed with PBEsol.

Lattice parameters (Å, degrees): 5.6798 5.6798 5.6127 90.00 90.00 90.00
Last column: nearest neighbours and their distance in Å.
Positions (direct):
Rb: 0.0000 0.0000 0.0000  8 Te 3.99, 4 Sb 4.02
Sb: 0.5000 0.5000 0.0000  2 Br 2.81
Te: 0.0000 0.5000 0.5000  2 Br 2.84
Te: 0.5000 0.0000 0.5000  2 Br 2.84
Br: 0.5000 0.5000 0.5000  2 Sb 2.81, 4 Te 2.84

Properties
For the density, the calculation gives 4.97 g cm⁻³. As for the calculated total energy: -150.7 eV for the cell shown. Its total magnetization is 1.33 μB/cell. For the uncorrected formation energy, the calculation gives 0.2476 eV per atom.

---

Q: What is the formula in the first record?
A: LaOsSe2

---

Q: Look up the density of the fourth one.
A: 4.97 g cm⁻³

---

Q: The lowest calculated total energy belongs to which entry?
A: MgUO4

---

Repeat the first record exactly.
A plane-wave DFT calculation with meta-GGA SCAN was carried out for a crystal of LaOsSe2 relaxed with PBEsol.

Lattice parameters (Å, degrees): 5.0844 5.0844 5.0844 134.18 113.26 84.73
Last column: nearest neighbours and their distance in Å.
Positions (direct):
La: 0.0000 0.0000 0.0000  8 Se 3.03-3.16
Os: 0.5000 0.5000 0.0000  4 Se 2.46
Se: 0.3047 0.8047 0.5000  2 Os 2.46
Se: 0.6953 0.1953 0.5000  2 Os 2.46

Properties
For the density, the calculation gives 9.72 g cm⁻³. As for the calculated total energy: -158.4 eV for the cell shown. Its total magnetization is 0.00 μB/cell. The distance to the lowest polymorph of the same formula comes out at 0.0 kJ/mol of atoms. For the uncorrected formation energy, the calculation gives -0.8037 eV per atom.